# 1
A relaxed CsCu2S2 crystal, computed with PBE.

V ... 22.05 Å³ per atom
Total magnetization ... 0.54 μB/cell
Raw total energy ... -3.880 eV/atom

The structure in POSCAR format:
```
CsCu2S2
1.0
3.7924 0.0000 0.0000
0.0000 3.7924 0.0000
0.0000 0.0000 7.6647
Cs Cu S
1 2 2
direct
0.0000 0.0000 0.0000
0.0000 0.5000 0.5000
0.5000 0.0000 0.5000
0.5000 0.5000 0.3020
0.5000 0.5000 0.6980
```

---

# 2
A relaxed Cs4CuS2 crystal, computed with PBE.

V ... 43.20 Å³ per atom
Total magnetization ... 0.82 μB/cell
Raw total energy ... -2.970 eV/atom

The structure in POSCAR format:
```
Cs4CuS2
1.0
3.0448 1.7579 9.4171
-3.0448 1.7579 9.4171
0.0000 -3.5158 9.4171
Cs Cu S
4 1 2
direct
0.1154 0.1154 0.1154
0.2963 0.2963 0.2963
0.7037 0.7037 0.7037
0.8846 0.8846 0.8846
0.5000 0.5000 0.5000
0.4239 0.4239 0.4239
0.5761 0.5761 0.5761
```